# TmNi3P3

A relaxed TmNi3P3 crystal (PBE-GGA, Alexandria). Values from VASP.

The structure in Quantum ESPRESSO input format:
```
&SYSTEM
  ibrav = 0, nat = 14, ntyp = 3
/
ATOMIC_SPECIES
Tm 168.93 Tm.upf
Ni 58.69 Ni.upf
P 30.97 P.upf
CELL_PARAMETERS angstrom
6.0952 0.0000 0.0000
0.0000 6.0952 0.0000
0.0000 0.0000 6.0952
ATOMIC_POSITIONS crystal
Tm 0.0000 0.0000 0.0000
Tm 0.5000 0.5000 0.5000
Ni 0.0000 0.2500 0.5000
Ni 0.0000 0.7500 0.5000
Ni 0.2500 0.5000 0.0000
Ni 0.5000 0.0000 0.2500
Ni 0.5000 0.0000 0.7500
Ni 0.7500 0.5000 0.0000
P 0.0000 0.5000 0.2500
P 0.0000 0.5000 0.7500
P 0.2500 0.0000 0.5000
P 0.5000 0.2500 0.0000
P 0.5000 0.7500 0.0000
P 0.7500 0.0000 0.5000
```



# Tm3Ni2P3

A relaxed Tm3Ni2P3 crystal (PBE-GGA, Alexandria). Values from VASP.

The structure in Quantum ESPRESSO input format:
```
&SYSTEM
  ibrav = 0, nat = 16, ntyp = 3
/
ATOMIC_SPECIES
Tm 168.93 Tm.upf
Ni 58.69 Ni.upf
P 30.97 P.upf
CELL_PARAMETERS angstrom
1.9555 -5.1180 0.0000
1.9555 5.1180 0.0000
0.0000 0.0000 13.4135
ATOMIC_POSITIONS crystal
Tm 0.0746 0.9254 0.6091
Tm 0.0746 0.9254 0.8909
Tm 0.3600 0.6400 0.7500
Tm 0.6400 0.3600 0.2500
Tm 0.9254 0.0746 0.1091
Tm 0.9254 0.0746 0.3909
Ni 0.2236 0.7764 0.0945
Ni 0.2236 0.7764 0.4055
Ni 0.7764 0.2236 0.5945
Ni 0.7764 0.2236 0.9055
P 0.3453 0.6547 0.2500
P 0.3698 0.6302 0.5477
P 0.3698 0.6302 0.9523
P 0.6302 0.3698 0.0477
P 0.6302 0.3698 0.4523
P 0.6547 0.3453 0.7500
```



# TmNi12P6

A relaxed TmNi12P6 crystal (PBE-GGA, Alexandria). Values from VASP.

The structure in Quantum ESPRESSO input format:
```
&SYSTEM
  ibrav = 0, nat = 19, ntyp = 3
/
ATOMIC_SPECIES
Tm 168.93 Tm.upf
Ni 58.69 Ni.upf
P 30.97 P.upf
CELL_PARAMETERS angstrom
5.1052 2.9475 2.6337
-5.1052 2.9475 2.6337
0.0000 -5.8949 2.6337
ATOMIC_POSITIONS crystal
Tm 0.0000 0.0000 0.0000
Ni 0.1261 0.5000 0.8739
Ni 0.1261 0.8739 0.5000
Ni 0.1773 0.4434 0.4434
Ni 0.4434 0.1773 0.4434
Ni 0.4434 0.4434 0.1773
Ni 0.5000 0.1261 0.8739
Ni 0.5000 0.8739 0.1261
Ni 0.5566 0.5566 0.8227
Ni 0.5566 0.8227 0.5566
Ni 0.8227 0.5566 0.5566
Ni 0.8739 0.1261 0.5000
Ni 0.8739 0.5000 0.1261
P 0.2424 0.2424 0.6829
P 0.2424 0.6829 0.2424
P 0.3171 0.7576 0.7576
P 0.6829 0.2424 0.2424
P 0.7576 0.3171 0.7576
P 0.7576 0.7576 0.3171
```



# U3Ni7P4

A relaxed U3Ni7P4 crystal (PBE-GGA, Alexandria). Values from VASP.

The structure in Quantum ESPRESSO input format:
```
&SYSTEM
  ibrav = 0, nat = 14, ntyp = 3
/
ATOMIC_SPECIES
U 238.03 U.upf
Ni 58.69 Ni.upf
P 30.97 P.upf
CELL_PARAMETERS angstrom
7.2474 -1.9541 0.0000
7.2474 1.9541 0.0000
-4.9899 0.0000 6.9579
ATOMIC_POSITIONS crystal
U 0.0000 0.0000 0.0000
U 0.3077 0.3077 0.3075
U 0.6923 0.6923 0.6925
Ni 0.0000 0.0000 0.5000
Ni 0.1529 0.1529 0.8793
Ni 0.3205 0.3205 0.6694
Ni 0.4948 0.4948 0.2908
Ni 0.5052 0.5052 0.7092
Ni 0.6795 0.6795 0.3306
Ni 0.8471 0.8471 0.1207
P 0.1169 0.1169 0.3977
P 0.3437 0.3437 0.9667
P 0.6563 0.6563 0.0333
P 0.8831 0.8831 0.6023
```



no.,E_form (eV per atom),mass density (g/cm3),D(E_F) (states/eV per atom)
1,-0.50,6.42,0.6491
2,-1.14,8.87,0.4588
3,-0.50,7.40,0.6375
4,-0.65,10.52,1.3707